(1)
Computed, not measured: an optimized crystal structure of TiSbAu2S at the PBE level of DFT.

Output
uncorrected formation energy: 789 meV/atom
Fermi-level density of states: 11.17 states/eV/cell
ρ: 7.5 Mg/m³

a b c (Å): 5.1006 5.1006 5.1029
angles (deg): 90.00 90.00 90.00
With the nearest neighbours (Å) after each atom.
Element x y z (fractional)
Ti  0.0000  0.0000  0.0000  4 S 3.61, 8 Au 3.61
Sb  0.5000  0.5000  0.5000  4 Au 2.55, 2 S 2.55
Au  0.0000  0.5000  0.5000  2 Sb 2.55
Au  0.5000  0.0000  0.5000  2 Sb 2.55
S  0.5000  0.5000  0.0000  2 Sb 2.55

=====

(2)
Computed, not measured: an optimized crystal structure of USbAuS at the PBE level of DFT.

Output
uncorrected formation energy: -622 meV/atom
Fermi-level density of states: 16.16 states/eV/cell
ρ: 11.1 Mg/m³

a b c (Å): 4.4179 4.4179 9.0116
angles (deg): 90.00 90.00 90.00
With the nearest neighbours (Å) after each atom.
Element x y z (fractional)
U  0.2500  0.2500  0.1798  4 S 2.74
U  0.7500  0.7500  0.8202  4 S 2.74
Sb  0.2500  0.2500  0.6988  4 Au 2.84
Sb  0.7500  0.7500  0.3012  4 Au 2.84
Au  0.2500  0.7500  0.5000  4 Sb 2.84, 4 Au 3.12
Au  0.7500  0.2500  0.5000  4 Sb 2.84, 4 Au 3.12
S  0.2500  0.7500  0.0000  4 U 2.74
S  0.7500  0.2500  0.0000  4 U 2.74

=====

- The highest uncorrected formation energy belongs to which entry?
  TiSbAu2S

=====

- Among the records above, which one has the lowest Fermi-level density of states?
  TiSbAu2S

=====

Repeat the first record exactly.
Computed, not measured: an optimized crystal structure of TiSbAu2S at the PBE level of DFT.

Output
uncorrected formation energy: 789 meV/atom
Fermi-level density of states: 11.17 states/eV/cell
ρ: 7.5 Mg/m³

a b c (Å): 5.1006 5.1006 5.1029
angles (deg): 90.00 90.00 90.00
With the nearest neighbours (Å) after each atom.
Element x y z (fractional)
Ti  0.0000  0.0000  0.0000  4 S 3.61, 8 Au 3.61
Sb  0.5000  0.5000  0.5000  4 Au 2.55, 2 S 2.55
Au  0.0000  0.5000  0.5000  2 Sb 2.55
Au  0.5000  0.0000  0.5000  2 Sb 2.55
S  0.5000  0.5000  0.0000  2 Sb 2.55